1.
Rb2MgInF6 | Alexandria via LeMat-Bulk | PBE | relaxed; space group = No. 225; raw formation energy = -2789 meV per atom
1.0
0.000 4.365 4.365
4.365 0.000 4.365
4.365 4.365 0.000
Rb Mg In F
2 1 1 6
Direct
0.250 0.250 0.250
0.750 0.750 0.750
0.000 0.000 0.000
0.500 0.500 0.500
0.234 0.234 0.766
0.234 0.766 0.234
0.234 0.766 0.766
0.766 0.234 0.234
0.766 0.234 0.766
0.766 0.766 0.234

2.
Rb2MgInF5 | Alexandria via LeMat-Bulk | PBE | relaxed; space group = No. 71; raw formation energy = -2713 meV per atom
1.0
-2.031 3.168 6.486
2.031 -3.168 6.486
2.031 3.168 -6.486
Rb Mg In F
2 1 1 5
Direct
0.218 0.218 0.000
0.782 0.782 0.000
0.000 0.500 0.500
0.500 0.000 0.500
0.000 0.000 0.000
0.115 0.388 0.727
0.339 0.612 0.727
0.661 0.388 0.273
0.885 0.612 0.273